[1]
Computed, not measured: AlMo2Pb after structural relaxation at the GGA-PBEsol level of DFT.

```
data_AlMo2Pb
_chemical_formula_sum 'Al3 Mo6 Pb3'
_cell_length_a 3.1027
_cell_length_b 3.1027
_cell_length_c 26.7916
_cell_angle_alpha 90.00
_cell_angle_beta 90.00
_cell_angle_gamma 120.00
_space_group_name_H-M_alt 'R 3 m'
_space_group_IT_number 160
_space_group_name_Hall 'R 3 -2"'
loop_
_atom_site_label
_atom_site_type_symbol
_atom_site_fract_x
_atom_site_fract_y
_atom_site_fract_z
_atom_site_occupancy
Al1 Al 0.0000 0.0000 0.0000 1
Mo1 Mo 0.0000 0.0000 0.2564 1
Mo2 Mo 0.0000 0.0000 0.5228 1
Pb1 Pb 0.0000 0.0000 0.7644 1
```

DFT total energy in eV/atom: -7.59
Distance to the lowest polymorph of the same formula in eV/atom: 0.0000



[2]
Computed, not measured: AlMo2Pb after structural relaxation at the GGA-PBEsol level of DFT.

```
data_AlMo2Pb
_chemical_formula_sum 'Al2 Mo4 Pb2'
_cell_length_a 4.064
_cell_length_b 4.064
_cell_length_c 8.214
_cell_angle_alpha 90.00
_cell_angle_beta 90.00
_cell_angle_gamma 90.00
_space_group_name_H-M_alt 'I -4 m 2'
_space_group_IT_number 119
_space_group_name_Hall 'I -4 -2'
loop_
_atom_site_label
_atom_site_type_symbol
_atom_site_fract_x
_atom_site_fract_y
_atom_site_fract_z
_atom_site_occupancy
Al1 Al 0.000 0.000 0.000 1
Mo1 Mo 0.000 0.000 0.500 1
Mo2 Mo 0.000 0.500 0.250 1
Pb1 Pb 0.000 0.500 0.750 1
```

DFT total energy in eV/atom: -7.43
Distance to the lowest polymorph of the same formula in eV/atom: 0.1537